The following is a PBE calculation of a relaxed Ti4NbRh3 crystal, from Alexandria via LeMat-Bulk.

Cell: 3.158 3.158 12.495 Å, 90.00 90.00 90.00°
Fractional coordinates of all 8 atoms:
Nb (0.500, 0.500, 0.000)
Rh (0.500, 0.500, 0.261)
Rh (0.500, 0.500, 0.500)
Rh (0.500, 0.500, 0.739)
Ti (0.000, 0.000, 0.868)
Ti (0.000, 0.000, 0.132)
Ti (0.000, 0.000, 0.378)
Ti (0.000, 0.000, 0.622)

Results
Energy relative to the elements, eV/atom: -0.597

The following is a PBE calculation of a relaxed Hf5Zr2Bi4 crystal, from Alexandria via LeMat-Bulk.

Cell: 3.154 7.559 12.834 Å, 102.70 97.06 90.00°
Fractional coordinates of all 11 atoms:
Hf (0.126, 0.030, 0.253)
Hf (0.874, 0.970, 0.747)
Hf (0.211, 0.368, 0.422)
Hf (0.500, 0.000, 0.000)
Hf (0.789, 0.632, 0.578)
Zr (0.915, 0.633, 0.830)
Zr (0.085, 0.367, 0.170)
Bi (0.672, 0.691, 0.343)
Bi (0.037, 0.705, 0.074)
Bi (0.328, 0.309, 0.657)
Bi (0.963, 0.295, 0.926)

Results
Energy relative to the elements, eV/atom: 0.257

The following is a PBE calculation of a relaxed CuAgSb3 crystal, from Alexandria via LeMat-Bulk.

Cell: 5.104 5.104 5.104 Å, 90.00 90.00 90.00°
Fractional coordinates of all 5 atoms:
Sb (0.000, 0.500, 0.000)
Sb (0.000, 0.000, 0.500)
Sb (0.500, 0.000, 0.000)
Cu (0.000, 0.000, 0.000)
Ag (0.500, 0.500, 0.500)

Results
Formation energy without anion corrections, eV/atom: 0.5373
Excess energy over the best structure of this formula in the dataset, meV/atom: 0

The following is a PBE calculation of a relaxed LaNi2Rh2 crystal, from Alexandria via LeMat-Bulk.

Cell: 4.232 4.232 5.764 Å, 68.46 68.46 90.00°
Fractional coordinates of all 5 atoms:
Ni (0.750, 0.250, 0.500)
Ni (0.250, 0.750, 0.500)
Rh (0.376, 0.376, 0.249)
Rh (0.624, 0.624, 0.751)
La (0.000, 0.000, 0.000)

Results
Energy relative to the elements, eV/atom: -0.193
Excess energy over the best structure of this formula in the dataset, meV/atom: 17

The following is a PBE calculation of a relaxed La3Pd2Pt3 crystal, from Alexandria via LeMat-Bulk.

Cell: 5.913 8.770 8.770 Å, 120.00 90.00 90.00°
Fractional coordinates of all 16 atoms:
La (0.750, 0.330, 0.000)
La (0.750, 0.670, 0.670)
La (0.750, 0.000, 0.330)
La (0.250, 0.670, 0.000)
La (0.250, 0.330, 0.330)
La (0.250, 0.000, 0.670)
Pd (0.000, 0.333, 0.667)
Pd (0.500, 0.667, 0.333)
Pd (0.000, 0.667, 0.333)
Pd (0.500, 0.333, 0.667)
Pt (0.750, 0.656, 0.000)
Pt (0.750, 0.344, 0.344)
Pt (0.750, 0.000, 0.656)
Pt (0.250, 0.344, 0.000)
Pt (0.250, 0.656, 0.656)
Pt (0.250, 0.000, 0.344)

Results
Energy relative to the elements, eV/atom: -0.899

The following is a PBE calculation of a relaxed CuHgRh2 crystal, from Alexandria via LeMat-Bulk.

Cell: 3.704 2.843 6.560 Å, 64.11 90.00 90.00°
Fractional coordinates of all 4 atoms:
Cu (0.000, 0.520, 0.479)
Hg (0.500, 0.760, 0.740)
Rh (0.000, 0.967, 0.034)
Rh (0.500, 0.252, 0.248)

Results
Energy relative to the elements, eV/atom: 0.160

The following is a PBE calculation of a relaxed ScBePt4 crystal, from Alexandria via LeMat-Bulk.

Cell: 5.250 5.250 5.250 Å, 60.00 60.00 60.00°
Fractional coordinates of all 6 atoms:
Sc (0.250, 0.250, 0.250)
Be (0.000, 0.000, 0.000)
Pt (0.626, 0.626, 0.123)
Pt (0.626, 0.123, 0.626)
Pt (0.626, 0.626, 0.626)
Pt (0.123, 0.626, 0.626)

Results
Energy relative to the elements, eV/atom: -0.406

The following is a PBE calculation of a relaxed La7CeCo3 crystal, from Alexandria via LeMat-Bulk.

Cell: 7.834 7.823 7.563 Å, 75.23 58.81 59.95°
Fractional coordinates of all 11 atoms:
La (0.359, 0.915, 0.367)
La (0.287, 0.584, 0.842)
La (0.845, 0.924, 0.385)
La (0.265, 0.094, 0.862)
La (0.779, 0.094, 0.862)
La (0.365, 0.419, 0.347)
La (0.869, 0.419, 0.347)
Ce (0.803, 0.579, 0.814)
Co (0.067, 0.259, 0.607)
Co (0.573, 0.748, 0.618)
Co (0.062, 0.748, 0.618)

Results
Energy relative to the elements, eV/atom: -0.070

The following is a PBE calculation of a relaxed KCaCdC2 crystal, from Alexandria via LeMat-Bulk.

Cell: 4.584 5.157 4.584 Å, 90.00 90.00 90.00°
Fractional coordinates of all 5 atoms:
C (0.000, 0.000, 0.500)
C (0.500, 0.000, 0.000)
Ca (0.500, 0.500, 0.500)
K (0.000, 0.500, 0.000)
Cd (0.000, 0.000, 0.000)

Results
Energy relative to the elements, eV/atom: 1.980

The following is a PBE calculation of a relaxed DyTmSnAu crystal, from Alexandria via LeMat-Bulk.

Cell: 5.186 5.186 5.186 Å, 60.00 60.00 60.00°
Fractional coordinates of all 4 atoms:
Tm (0.750, 0.750, 0.750)
Au (0.500, 0.500, 0.500)
Sn (0.000, 0.000, 0.000)
Dy (0.250, 0.250, 0.250)

Results
Energy relative to the elements, eV/atom: -0.702

The following is a PBE calculation of a relaxed NaTl9Cd2 crystal, from Alexandria via LeMat-Bulk.

Cell: 4.880 4.880 14.580 Å, 90.00 90.00 90.00°
Fractional coordinates of all 12 atoms:
Na (0.000, 0.000, 0.000)
Tl (0.500, 0.500, 0.000)
Tl (0.500, 0.500, 0.333)
Tl (0.500, 0.500, 0.667)
Tl (0.500, 0.000, 0.168)
Tl (0.500, 0.000, 0.500)
Tl (0.500, 0.000, 0.832)
Tl (0.000, 0.500, 0.168)
Tl (0.000, 0.500, 0.500)
Tl (0.000, 0.500, 0.832)
Cd (0.000, 0.000, 0.328)
Cd (0.000, 0.000, 0.672)

Results
Energy relative to the elements, eV/atom: 0.003

The following is a PBE calculation of a relaxed NaBe2Co crystal, from Alexandria via LeMat-Bulk.

Cell: 4.036 4.036 4.036 Å, 60.00 60.00 60.00°
Fractional coordinates of all 4 atoms:
Na (0.000, 0.000, 0.000)
Co (0.500, 0.500, 0.500)
Be (0.250, 0.250, 0.250)
Be (0.750, 0.750, 0.750)

Results
Energy relative to the elements, eV/atom: 0.622
Excess energy over the best structure of this formula in the dataset, meV/atom: 0

The following is a PBE calculation of a relaxed SrLaB crystal, from Alexandria via LeMat-Bulk.

Cell: 14.779 3.337 7.254 Å, 90.00 90.00 90.00°
Fractional coordinates of all 12 atoms:
Sr (0.665, 0.250, 0.671)
Sr (0.835, 0.750, 0.171)
Sr (0.335, 0.750, 0.329)
Sr (0.165, 0.250, 0.829)
B (0.988, 0.250, 0.984)
B (0.512, 0.750, 0.484)
B (0.012, 0.750, 0.016)
B (0.488, 0.250, 0.516)
La (0.579, 0.250, 0.195)
La (0.921, 0.750, 0.695)
La (0.421, 0.750, 0.805)
La (0.079, 0.250, 0.305)

Results
Energy relative to the elements, eV/atom: 0.028
Excess energy over the best structure of this formula in the dataset, meV/atom: 8

The following is a PBE calculation of a relaxed Zn2MoOs crystal, from Alexandria via LeMat-Bulk.

Cell: 9.040 9.040 9.040 Å, 17.60 17.60 17.60°
Fractional coordinates of all 4 atoms:
Mo (0.250, 0.250, 0.250)
Os (0.750, 0.750, 0.750)
Zn (0.002, 0.002, 0.002)
Zn (0.498, 0.498, 0.498)

Results
Energy relative to the elements, eV/atom: 0.261
Excess energy over the best structure of this formula in the dataset, meV/atom: 214

The following is a PBE calculation of a relaxed Tm2HfThN4 crystal, from Alexandria via LeMat-Bulk.

Cell: 3.417 5.971 5.893 Å, 109.24 90.00 90.00°
Fractional coordinates of all 8 atoms:
Tm (0.500, 0.000, 0.500)
Tm (0.000, 0.500, 0.500)
Hf (0.000, 0.000, 0.000)
Th (0.500, 0.500, 0.000)
N (0.500, 0.231, 0.239)
N (0.500, 0.769, 0.761)
N (0.000, 0.229, 0.750)
N (0.000, 0.771, 0.250)

Results
Formation energy without anion corrections, eV/atom: -1.6758

The following is a PBE calculation of a relaxed Dy3ErZn2 crystal, from Alexandria via LeMat-Bulk.

Cell: 3.563 3.563 12.092 Å, 90.00 90.00 90.00°
Fractional coordinates of all 6 atoms:
Dy (0.000, 0.000, 0.000)
Dy (0.000, 0.000, 0.708)
Dy (0.000, 0.000, 0.292)
Er (0.500, 0.500, 0.500)
Zn (0.500, 0.500, 0.854)
Zn (0.500, 0.500, 0.146)

Results
Energy relative to the elements, eV/atom: -0.221
Excess energy over the best structure of this formula in the dataset, meV/atom: 11

The following is a PBE calculation of a relaxed Na2CaNp3Se6 crystal, from Alexandria via LeMat-Bulk.

Cell: 4.166 8.456 9.434 Å, 103.45 102.76 90.00°
Fractional coordinates of all 12 atoms:
Na (0.832, 0.663, 0.664)
Na (0.168, 0.337, 0.336)
Ca (0.500, 0.000, 0.000)
Np (0.500, 0.500, 0.000)
Np (0.830, 0.166, 0.661)
Np (0.170, 0.834, 0.339)
Se (0.333, 0.926, 0.666)
Se (0.664, 0.592, 0.328)
Se (0.667, 0.074, 0.334)
Se (0.997, 0.250, 0.994)
Se (0.003, 0.750, 0.006)
Se (0.336, 0.408, 0.672)

Results
Formation energy without anion corrections, eV/atom: -1.2717

The following is a PBE calculation of a relaxed Ni3MoIr crystal, from Alexandria via LeMat-Bulk.

Cell: 4.297 5.139 6.178 Å, 90.00 69.63 90.00°
Fractional coordinates of all 10 atoms:
Ni (0.189, 0.001, 0.123)
Ni (0.811, 0.999, 0.877)
Ni (0.189, 0.499, 0.123)
Ni (0.811, 0.501, 0.877)
Ni (0.000, 0.750, 0.500)
Ni (0.000, 0.250, 0.500)
Mo (0.609, 0.750, 0.282)
Mo (0.391, 0.250, 0.718)
Ir (0.380, 0.750, 0.740)
Ir (0.620, 0.250, 0.260)

Results
Energy relative to the elements, eV/atom: -0.007
Excess energy over the best structure of this formula in the dataset, meV/atom: 49

The following is a PBE calculation of a relaxed DyEr2Sc crystal, from Alexandria via LeMat-Bulk.

Cell: 3.533 6.516 6.516 Å, 55.72 74.27 74.27°
Fractional coordinates of all 4 atoms:
Dy (0.250, 0.172, 0.328)
Er (0.005, 0.076, 0.914)
Er (0.495, 0.586, 0.424)
Sc (0.750, 0.666, 0.834)

Results
Energy relative to the elements, eV/atom: 0.016
Excess energy over the best structure of this formula in the dataset, meV/atom: 0

The following is a PBE calculation of a relaxed NaPmNd2S4 crystal, from Alexandria via LeMat-Bulk.

Cell: 4.050 7.038 7.035 Å, 109.26 90.00 90.00°
Fractional coordinates of all 8 atoms:
Na (0.500, 0.500, 0.000)
Pm (0.000, 0.000, 0.000)
Nd (0.500, 0.000, 0.500)
Nd (0.000, 0.500, 0.500)
S (0.500, 0.250, 0.246)
S (0.500, 0.750, 0.754)
S (0.000, 0.248, 0.750)
S (0.000, 0.752, 0.250)

Results
Formation energy without anion corrections, eV/atom: -1.9158

| no. | E_tot (eV/atom) | total moment (μB per formula unit) |
| --- | --- | --- |
| 1 | -8.560 | 0.00 |
| 2 | -7.232 | 0.00 |
| 3 | -3.326 | 0.00 |
| 4 | -6.432 | 0.00 |
| 5 | -6.310 | 0.00 |
| 6 | -4.615 | 0.00 |
| 7 | -6.110 | 0.00 |
| 8 | -5.683 | 0.00 |
| 9 | -2.512 | 0.00 |
| 10 | -4.791 | 0.43 |
| 11 | -2.034 | 0.00 |
| 12 | -3.347 | 0.00 |
| 13 | -4.400 | 0.00 |
| 14 | -5.891 | 0.00 |
| 15 | -9.128 | 0.00 |
| 16 | -3.707 | 0.00 |
| 17 | -6.636 | 4.16 |
| 18 | -7.414 | 0.00 |
| 19 | -4.999 | 0.01 |
| 20 | -5.930 | 0.00 |